DFT (PBE-GGA) results for a relaxed AcAlSiIr3 crystal.

abc: 5.921 14.298 5.939
angles: 90.00 90.00 90.00
Space group Cmcm (No. 63)
Inequivalent atoms, fractional coordinates:
Ac 0.000 0.247 0.250 [4 per cell]
Al 0.000 0.091 0.750 [4 per cell]
Si 0.000 0.425 0.750 [4 per cell]
Ir 0.000 0.262 0.750 [4 per cell]
Ir 0.250 0.000 0.000 [8 per cell]

## Properties
The total magnetization is 0.000 μB/cell. The uncorrected formation energy comes out at -0.623 eV per atom. The value obtained for the uncorrected energy is -7.27 eV per atom. As for the crystal system: orthorhombic.